No. 1
The following is a DFT calculation (GGA-PBE) of crystalline VCr4Mo at its relaxed geometry.

Mass density (g/cm3): 7.7
Symmetry: P2_1/c (14)
Raw total energy (eV per atom): -9.620

a = 7.299 Å, b = 4.904 Å, c = 4.901 Å
α = 119.51°, β = 90.00°, γ = 90.00°
Fractional coordinates of all 12 atoms:
Cr (0.667, 0.602, 0.601)
Cr (0.837, 0.602, 0.104)
Cr (0.163, 0.398, 0.896)
Cr (0.833, 0.102, 0.601)
Cr (0.663, 0.102, 0.104)
Cr (0.337, 0.898, 0.896)
Cr (0.333, 0.398, 0.399)
Cr (0.167, 0.898, 0.399)
V (0.000, 0.500, 0.500)
V (0.500, 0.000, 0.500)
Mo (0.000, 0.000, 0.000)
Mo (0.500, 0.500, 0.000)

***

No. 2
The following is a DFT calculation (GGA-PBE) of crystalline LiTbIn2Br6 at its relaxed geometry.

Mass density (g/cm3): 4.5
Symmetry: P2_1/c (14)
Raw total energy (eV per atom): -3.522

a = 7.560 Å, b = 7.902 Å, c = 10.793 Å
α = 90.00°, β = 89.50°, γ = 90.00°
Fractional coordinates of all 20 atoms:
Br (0.802, 0.796, 0.955)
Br (0.091, 0.484, 0.747)
Br (0.409, 0.984, 0.753)
Br (0.198, 0.200, 0.456)
Br (0.591, 0.016, 0.247)
Br (0.802, 0.800, 0.544)
Br (0.909, 0.516, 0.253)
Br (0.302, 0.704, 0.455)
Br (0.198, 0.204, 0.045)
Br (0.698, 0.300, 0.956)
Br (0.698, 0.296, 0.545)
Br (0.302, 0.700, 0.044)
In (0.522, 0.578, 0.756)
In (0.978, 0.078, 0.744)
In (0.478, 0.422, 0.244)
In (0.022, 0.922, 0.256)
Li (0.000, 0.500, 0.500)
Li (0.500, 0.000, 0.000)
Tb (0.500, 0.000, 0.500)
Tb (0.000, 0.500, 0.000)

***

No. 3
The following is a DFT calculation (GGA-PBE) of crystalline KAs2W at its relaxed geometry.

Mass density (g/cm3): 5.8
Symmetry: Immm (71)
Raw total energy (eV per atom): -5.521

a = 6.272 Å, b = 6.272 Å, c = 6.272 Å
α = 151.33°, β = 112.75°, γ = 74.68°
Site moments in Bohr magnetons follow the coordinates.
Fractional coordinates of all 4 atoms:
K (0.750, 0.250, 0.500)  0.01
As (0.054, 0.054, 0.000)  -0.03
As (0.446, 0.446, 0.000)  -0.03
W (0.250, 0.750, 0.500)  0.65